[1]
Ba2SrPF: optimized geometry, PBE.

Properties
- ΔE_f (raw): -1.1 eV per formula unit
- Magnetization: 1.6 μB/cell

```
data_Ba2SrPF
_chemical_formula_sum 'Ba2 Sr1 P1 F1'
_space_group_name_H-M_alt 'P 1'
_space_group_IT_number 1
_cell_length_a 6.867
_cell_length_b 5.340
_cell_length_c 6.867
_cell_angle_alpha 90.00
_cell_angle_beta 90.00
_cell_angle_gamma 90.00
loop_
_space_group_symop_operation_xyz
'x,y,z'
loop_
_atom_site_label
_atom_site_type_symbol
_atom_site_fract_x
_atom_site_fract_y
_atom_site_fract_z
_atom_site_occupancy
Sr1 Sr 0.000 0.000 0.000 1
F1 F 0.500 0.500 0.500 1
Ba1 Ba 0.000 0.000 0.500 1
Ba2 Ba 0.500 0.000 0.000 1
P1 P 0.000 0.500 0.000 1
```

***

[2]
ZnH3CNO3: optimized geometry, PBE.

Properties
- Magnetization: 0.0 μB/cell
- E_tot: -211.3 eV/cell

```
data_ZnH3CNO3
_chemical_formula_sum 'Zn4 H12 C4 N4 O12'
_space_group_name_H-M_alt 'P 1'
_space_group_IT_number 1
_cell_length_a 5.481
_cell_length_b 7.587
_cell_length_c 9.624
_cell_angle_alpha 90.00
_cell_angle_beta 90.00
_cell_angle_gamma 90.00
loop_
_space_group_symop_operation_xyz
'x,y,z'
loop_
_atom_site_label
_atom_site_type_symbol
_atom_site_fract_x
_atom_site_fract_y
_atom_site_fract_z
_atom_site_occupancy
Zn1 Zn 0.707 0.671 0.352 1
Zn2 Zn 0.707 0.829 0.852 1
Zn3 Zn 0.207 0.329 0.648 1
Zn4 Zn 0.207 0.171 0.148 1
H1 H 0.787 0.235 0.559 1
H2 H 0.420 0.549 0.890 1
H3 H 0.420 0.951 0.390 1
H4 H 0.513 0.852 0.535 1
H5 H 0.013 0.352 0.965 1
H6 H 0.787 0.265 0.059 1
H7 H 0.920 0.049 0.610 1
H8 H 0.287 0.735 0.941 1
H9 H 0.287 0.765 0.441 1
H10 H 0.920 0.451 0.110 1
H11 H 0.013 0.148 0.465 1
H12 H 0.513 0.648 0.035 1
C1 C 0.445 0.154 0.882 1
C2 C 0.445 0.346 0.382 1
C3 C 0.945 0.846 0.118 1
C4 C 0.945 0.654 0.618 1
N1 N 0.951 0.330 0.065 1
N2 N 0.451 0.830 0.435 1
N3 N 0.451 0.670 0.935 1
N4 N 0.951 0.170 0.565 1
O1 O 0.474 0.124 0.014 1
O2 O 0.974 0.624 0.486 1
O3 O 0.817 0.790 0.658 1
O4 O 0.317 0.210 0.342 1
O5 O 0.546 0.446 0.290 1
O6 O 0.046 0.554 0.710 1
O7 O 0.317 0.290 0.842 1
O8 O 0.474 0.376 0.514 1
O9 O 0.817 0.710 0.158 1
O10 O 0.546 0.054 0.790 1
O11 O 0.974 0.876 0.986 1
O12 O 0.046 0.946 0.210 1
```

***

[3]
NaNiSbTe2: optimized geometry, PBE.

Properties
- Energy above the most stable polymorph in this dataset: 5.83 eV per formula unit
- ΔE_f (raw): 5.6 eV per formula unit
- Magnetization: 0.9 μB/cell

```
data_NaNiSbTe2
_chemical_formula_sum 'Na1 Ni1 Sb1 Te2'
_space_group_name_H-M_alt 'P 1'
_space_group_IT_number 1
_cell_length_a 5.432
_cell_length_b 5.432
_cell_length_c 5.289
_cell_angle_alpha 90.00
_cell_angle_beta 90.00
_cell_angle_gamma 90.00
loop_
_space_group_symop_operation_xyz
'x,y,z'
loop_
_atom_site_label
_atom_site_type_symbol
_atom_site_fract_x
_atom_site_fract_y
_atom_site_fract_z
_atom_site_occupancy
Sb1 Sb 0.000 0.000 0.500 1
Te1 Te 0.000 0.500 0.000 1
Te2 Te 0.500 0.000 0.000 1
Na1 Na 0.000 0.000 0.000 1
Ni1 Ni 0.500 0.500 0.500 1
```

***

[4]
TbPrTh: optimized geometry, PBE.

Properties
- Energy above the most stable polymorph in this dataset: 0.03 eV per formula unit
- Magnetization: 0.0 μB/cell

```
data_TbPrTh
_chemical_formula_sum 'Tb1 Pr1 Th1'
_space_group_name_H-M_alt 'P 1'
_space_group_IT_number 1
_cell_length_a 3.627
_cell_length_b 3.627
_cell_length_c 8.069
_cell_angle_alpha 102.99
_cell_angle_beta 102.99
_cell_angle_gamma 90.00
loop_
_space_group_symop_operation_xyz
'x,y,z'
loop_
_atom_site_label
_atom_site_type_symbol
_atom_site_fract_x
_atom_site_fract_y
_atom_site_fract_z
_atom_site_occupancy
Pr1 Pr 0.993 0.993 0.987 1
Tb1 Tb 0.676 0.676 0.351 1
Th1 Th 0.331 0.331 0.662 1
```

***

- Which formula does entry 4 have?
  TbPrTh